Here is a relaxed LiZn6Pd3 crystal from Alexandria via LeMat-Bulk. Energies are from PBE-GGA.

Lattice parameters (Å, degrees): 5.4986 7.5770 7.5770 98.00 90.00 90.00
Closest atoms and distances in Å follow each position.
Fractional positions:
Li 0.9965 0.2088 0.7912  1 Pd 2.58, 6 Zn 2.69-2.88
Li 0.4965 0.7912 0.2088  1 Pd 2.58, 6 Zn 2.69-2.88
Zn 0.1715 0.7239 0.5315  4 Pd 2.53-2.67, 4 Zn 2.54-2.76
Zn 0.6715 0.5315 0.7239  4 Pd 2.53-2.67, 4 Zn 2.54-2.76
Zn 0.2997 0.4987 0.9502  3 Pd 2.53-2.71, 3 Zn 2.61-2.70
Zn 0.7997 0.9502 0.4987  3 Pd 2.53-2.71, 3 Zn 2.61-2.70
Zn 0.2642 0.9994 0.0006  4 Pd 2.58-2.59, 2 Li 2.70-2.81, 4 Zn 2.71-2.75
Zn 0.5077 0.2050 0.7950  6 Zn 2.63-2.76, 3 Pd 2.64-2.67, 2 Li 2.69-2.81
Zn 0.0077 0.7950 0.2050  6 Zn 2.63-2.76, 3 Pd 2.64-2.67, 2 Li 2.69-2.81
Zn 0.7642 0.0006 0.9994  4 Pd 2.58-2.59, 2 Li 2.70-2.81, 4 Zn 2.71-2.75
Zn 0.2997 0.0498 0.5013  3 Pd 2.53-2.71, 3 Zn 2.61-2.70
Zn 0.7997 0.5013 0.0498  3 Pd 2.53-2.71, 3 Zn 2.61-2.70
Zn 0.1715 0.4685 0.2761  4 Pd 2.53-2.67, 4 Zn 2.54-2.76
Zn 0.6715 0.2761 0.4685  4 Pd 2.53-2.67, 4 Zn 2.54-2.76
Pd 0.5154 0.8533 0.7300  7 Zn 2.53-2.71
Pd 0.0154 0.7300 0.8533  7 Zn 2.53-2.71
Pd 0.2437 0.4007 0.5993  1 Li 2.58, 7 Zn 2.60-2.68
Pd 0.7437 0.5993 0.4007  1 Li 2.58, 7 Zn 2.60-2.68
Pd 0.0154 0.1467 0.2700  7 Zn 2.53-2.71
Pd 0.5154 0.2700 0.1467  7 Zn 2.53-2.71

Values from the calculation:
E_form = -0.29 eV/atom
calculated volume = 312.61 Å³/cell